[1]
This record from the Alexandria database describes crystalline Li2TbSmHg4 at its relaxed geometry. The functional is PBE.

As for the formation energy: -448 meV per atom. As for the density of states at the Fermi level: 17.31 states/eV per cell.

The structure belongs to space group R-3m (No. 166, hexagonal axes); the cell edges are 5.0614, 5.0614 and 24.8736 Å and the angles 90.00°, 90.00° and 120.00°. Symmetry generates all atoms from Li at (0.0000, 0.0000, 0.2492), Tb at (0.0000, 0.0000, 0.5000), Sm at (0.0000, 0.0000, 0.0000), Hg at (0.0000, 0.0000, 0.1259) and Hg at (0.0000, 0.0000, 0.3766).

[2]
This record from the Alexandria database describes crystalline Ca3Sm at its relaxed geometry. The functional is PBE.

The relative energy among the computed polymorphs comes out at 12 meV/atom. As for the formation energy: 104 meV per atom. As for the density of states at the Fermi level: 11.97 states/eV per cell.

The structure belongs to space group I4/mmm (No. 139); the cell edges are 6.032, 6.032 and 8.504 Å and the angles 90.00°, 90.00° and 90.00°. Symmetry generates all atoms from Ca at (0.000, 0.000, 0.000), Ca at (0.000, 0.500, 0.250) and Sm at (0.000, 0.000, 0.500).